(1)
# GGA-PBE SbAs, optimized geometry
data_SbAs
_space_group_name_H-M_alt 'C 1 m 1'
_space_group_IT_number 8
_cell_length_a 11.947
_cell_length_b 3.974
_cell_length_c 9.461
_cell_angle_alpha 90.00
_cell_angle_beta 127.03
_cell_angle_gamma 90.00
loop_
_space_group_symop_operation_xyz
'x,y,z'
'x,-y,z'
'x+1/2,y+1/2,z'
'x+1/2,-y+1/2,z'
loop_
_atom_site_label
_atom_site_fract_x
_atom_site_fract_y
_atom_site_fract_z
Sb1 0.000 0.000 0.000
Sb2 0.029 0.500 0.676
Sb3 0.419 0.000 0.278
As1 0.182 0.000 0.918
As2 0.291 0.500 0.325
As3 0.346 0.000 0.756
# - Total energy: -4.24 eV per atom
# - Calculated density: 5.464 Mg/m³
# - E above lowest polymorph: 0.160 eV/atom
# - E_form (uncorrected): 14.2 kJ per mole of atoms

---

(2)
# GGA-PBE SbAs3, optimized geometry
data_SbAs3
_space_group_name_H-M_alt 'P n m a'
_space_group_IT_number 62
_cell_length_a 6.708
_cell_length_b 6.855
_cell_length_c 8.589
_cell_angle_alpha 90.00
_cell_angle_beta 90.00
_cell_angle_gamma 90.00
loop_
_space_group_symop_operation_xyz
'x,y,z'
'-x,-y,-z'
'-x+1/2,-y,z+1/2'
'x+1/2,y,-z+1/2'
'x+1/2,-y+1/2,-z+1/2'
'-x+1/2,y+1/2,z+1/2'
'-x,y+1/2,-z'
'x,-y+1/2,z'
loop_
_atom_site_label
_atom_site_fract_x
_atom_site_fract_y
_atom_site_fract_z
Sb1 0.070 0.250 0.106
As1 0.086 0.250 0.629
As2 0.245 0.511 0.315
# - Total energy: -4.33 eV per atom
# - Calculated density: 5.828 Mg/m³
# - E above lowest polymorph: 0.184 eV/atom
# - E_form (uncorrected): 18.2 kJ per mole of atoms

---

(3)
# GGA-PBE SbAs, optimized geometry
data_SbAs
_space_group_name_H-M_alt 'P 63/m m c'
_space_group_IT_number 194
_space_group_name_Hall '-P 6c 2c'
_cell_length_a 5.2179
_cell_length_b 5.2179
_cell_length_c 9.4505
_cell_angle_alpha 90.00
_cell_angle_beta 90.00
_cell_angle_gamma 120.00
loop_
_atom_site_label
_atom_site_fract_x
_atom_site_fract_y
_atom_site_fract_z
Sb1 0.0000 0.0000 0.2500
Sb2 0.3333 0.6667 0.2500
As1 0.3333 0.6667 0.6214
# - Total energy: -3.89 eV per atom
# - Calculated density: 5.863 Mg/m³
# - E above lowest polymorph: 0.509 eV/atom
# - E_form (uncorrected): 47.8 kJ per mole of atoms

---

(4)
# GGA-PBE Sb3As, optimized geometry
data_Sb3As
_space_group_name_H-M_alt 'R -3 m'
_space_group_IT_number 166
_space_group_name_Hall '-R 3 2"'
_cell_length_a 4.3108
_cell_length_b 4.3108
_cell_length_c 20.4668
_cell_angle_alpha 90.00
_cell_angle_beta 90.00
_cell_angle_gamma 120.00
loop_
_atom_site_label
_atom_site_fract_x
_atom_site_fract_y
_atom_site_fract_z
Sb1 0.0000 0.0000 0.0000
Sb2 0.0000 0.0000 0.2443
As1 0.0000 0.0000 0.5000
# - Total energy: -4.19 eV per atom
# - Calculated density: 6.658 Mg/m³
# - E above lowest polymorph: 0.035 eV/atom
# - E_form (uncorrected): 6.0 kJ per mole of atoms

---

(5)
# GGA-PBE Sb3As, optimized geometry
data_Sb3As
_space_group_name_H-M_alt 'R -3 m'
_space_group_IT_number 166
_space_group_name_Hall '-R 3 2"'
_cell_length_a 10.3521
_cell_length_b 10.3521
_cell_length_c 3.2561
_cell_angle_alpha 90.00
_cell_angle_beta 90.00
_cell_angle_gamma 120.00
loop_
_atom_site_label
_atom_site_fract_x
_atom_site_fract_y
_atom_site_fract_z
Sb1 0.0000 0.5000 0.0000
As1 0.0000 0.0000 0.0000
# - Total energy: -3.96 eV per atom
# - Calculated density: 7.257 Mg/m³
# - E above lowest polymorph: 0.271 eV/atom
# - E_form (uncorrected): 28.8 kJ per mole of atoms

---

(6)
# GGA-PBE SbAs, optimized geometry
data_SbAs
_space_group_name_H-M_alt 'P 3 m 1'
_space_group_IT_number 156
_cell_length_a 3.9057
_cell_length_b 3.9057
_cell_length_c 4.6920
_cell_angle_alpha 90.00
_cell_angle_beta 90.00
_cell_angle_gamma 120.00
loop_
_space_group_symop_operation_xyz
'x,y,z'
'-y,x-y,z'
'-x+y,-x,z'
'-y,-x,z'
'-x+y,y,z'
'x,x-y,z'
loop_
_atom_site_label
_atom_site_fract_x
_atom_site_fract_y
_atom_site_fract_z
Sb1 0.0000 0.0000 0.0000
As1 0.6667 0.3333 0.6788
# - Total energy: -4.36 eV per atom
# - Calculated density: 5.269 Mg/m³
# - E above lowest polymorph: 0.043 eV/atom
# - E_form (uncorrected): 2.9 kJ per mole of atoms

---

(7)
# GGA-PBE Sb3As, optimized geometry
data_Sb3As
_space_group_name_H-M_alt 'P m -3 m'
_space_group_IT_number 221
_space_group_name_Hall '-P 4 2 3'
_cell_length_a 4.670
_cell_length_b 4.670
_cell_length_c 4.670
_cell_angle_alpha 90.00
_cell_angle_beta 90.00
_cell_angle_gamma 90.00
loop_
_atom_site_label
_atom_site_fract_x
_atom_site_fract_y
_atom_site_fract_z
Sb1 0.000 0.000 0.500
As1 0.500 0.500 0.500
# - Total energy: -3.85 eV per atom
# - Calculated density: 7.176 Mg/m³
# - E above lowest polymorph: 0.376 eV/atom
# - E_form (uncorrected): 38.9 kJ per mole of atoms

---

(8)
# GGA-PBE SbAs, optimized geometry
data_SbAs
_space_group_name_H-M_alt 'P 63/m m c'
_space_group_IT_number 194
_space_group_name_Hall '-P 6c 2c'
_cell_length_a 4.0111
_cell_length_b 4.0111
_cell_length_c 7.3059
_cell_angle_alpha 90.00
_cell_angle_beta 90.00
_cell_angle_gamma 120.00
loop_
_atom_site_label
_atom_site_fract_x
_atom_site_fract_y
_atom_site_fract_z
Sb1 0.0000 0.0000 0.0000
As1 0.3333 0.6667 0.2500
# - Total energy: -4.26 eV per atom
# - Calculated density: 6.417 Mg/m³
# - E above lowest polymorph: 0.141 eV/atom
# - E_form (uncorrected): 12.4 kJ per mole of atoms

---

(9)
# GGA-PBE SbAs2, optimized geometry
data_SbAs2
_space_group_name_H-M_alt 'C m c m'
_space_group_IT_number 63
_space_group_name_Hall '-C 2c 2'
_cell_length_a 3.638
_cell_length_b 15.621
_cell_length_c 5.114
_cell_angle_alpha 90.00
_cell_angle_beta 90.00
_cell_angle_gamma 90.00
loop_
_atom_site_label
_atom_site_fract_x
_atom_site_fract_y
_atom_site_fract_z
Sb1 0.000 0.112 0.250
As1 0.000 0.203 0.750
As2 0.000 0.412 0.250
# - Total energy: -4.23 eV per atom
# - Calculated density: 6.207 Mg/m³
# - E above lowest polymorph: 0.219 eV/atom
# - E_form (uncorrected): 23.7 kJ per mole of atoms

---

(10)
# GGA-PBE SbAs, optimized geometry
data_SbAs
_space_group_name_H-M_alt 'P 1 2/m 1'
_space_group_IT_number 10
_cell_length_a 4.376
_cell_length_b 4.112
_cell_length_c 6.190
_cell_angle_alpha 90.00
_cell_angle_beta 98.04
_cell_angle_gamma 90.00
loop_
_space_group_symop_operation_xyz
'x,y,z'
'-x,-y,-z'
'-x,y,-z'
'x,-y,z'
loop_
_atom_site_label
_atom_site_fract_x
_atom_site_fract_y
_atom_site_fract_z
Sb1 0.025 0.000 0.244
As1 0.450 0.500 0.295
# - Total energy: -4.38 eV per atom
# - Calculated density: 5.923 Mg/m³
# - E above lowest polymorph: 0.017 eV/atom
# - E_form (uncorrected): 0.4 kJ per mole of atoms

---

(11)
# GGA-PBE SbAs, optimized geometry
data_SbAs
_space_group_name_H-M_alt 'I 4/m'
_space_group_IT_number 87
_space_group_name_Hall '-I 4'
_cell_length_a 11.742
_cell_length_b 11.742
_cell_length_c 3.928
_cell_angle_alpha 90.00
_cell_angle_beta 90.00
_cell_angle_gamma 90.00
loop_
_atom_site_label
_atom_site_fract_x
_atom_site_fract_y
_atom_site_fract_z
Sb1 0.115 0.217 0.000
As1 0.133 0.664 0.000
# - Total energy: -4.26 eV per atom
# - Calculated density: 4.824 Mg/m³
# - E above lowest polymorph: 0.139 eV/atom
# - E_form (uncorrected): 12.2 kJ per mole of atoms

---

(12)
# GGA-PBE SbAs, optimized geometry
data_SbAs
_space_group_name_H-M_alt 'C m m e'
_space_group_IT_number 67
_space_group_name_Hall '-C 2a 2'
_cell_length_a 3.619
_cell_length_b 5.282
_cell_length_c 10.206
_cell_angle_alpha 90.00
_cell_angle_beta 90.00
_cell_angle_gamma 90.00
loop_
_atom_site_label
_atom_site_fract_x
_atom_site_fract_y
_atom_site_fract_z
Sb1 0.000 0.250 0.128
As1 0.000 0.250 0.589
# - Total energy: -4.05 eV per atom
# - Calculated density: 6.697 Mg/m³
# - E above lowest polymorph: 0.352 eV/atom
# - E_form (uncorrected): 32.7 kJ per mole of atoms

---

(13)
# GGA-PBE SbAs3, optimized geometry
data_SbAs3
_space_group_name_H-M_alt 'I 4/m m m'
_space_group_IT_number 139
_space_group_name_Hall '-I 4 2'
_cell_length_a 3.904
_cell_length_b 3.904
_cell_length_c 23.586
_cell_angle_alpha 90.00
_cell_angle_beta 90.00
_cell_angle_gamma 90.00
loop_
_atom_site_label
_atom_site_fract_x
_atom_site_fract_y
_atom_site_fract_z
Sb1 0.000 0.000 0.145
As1 0.000 0.000 0.408
As2 0.000 0.500 0.000
As3 0.000 0.500 0.250
# - Total energy: -4.21 eV per atom
# - Calculated density: 6.402 Mg/m³
# - E above lowest polymorph: 0.306 eV/atom
# - E_form (uncorrected): 30.0 kJ per mole of atoms